Compound: ErMnIn4O8
Source: the Alexandria database
Functional: GGA+U
Structure: relaxed

Results
D(E_F) = 1.5 states/eV per cell
Spin magnetization = 5.013 μB per formula unit
Space-group type = R3m
Uncorrected energy = -6.327 eV/atom

Cell: 6.6272 6.6272 6.6272 Å, 59.48 59.48 59.48°
Fractional positions:
Er  0.0000  0.0000  0.0000
Mn  0.6254  0.6254  0.6254
In  0.0006  0.0006  0.5046
In  0.0006  0.5046  0.0006
In  0.3762  0.3762  0.3762
In  0.5046  0.0006  0.0006
O  0.2267  0.7591  0.7591
O  0.2397  0.2397  0.2397
O  0.2438  0.2438  0.7810
O  0.2438  0.7810  0.2438
O  0.7591  0.2267  0.7591
O  0.7591  0.7591  0.2267
O  0.7618  0.7618  0.7618
O  0.7810  0.2438  0.2438